Record 1
Below is a geometry-optimized Na2Ge2Os structure, with properties calculated at the PBE level.

Lattice parameters (Å, degrees): 3.4846 3.4846 7.7471 77.00 77.00 90.00
Closest atoms and distances in Å follow each position.
Fractional positions:
Os 0.0000 0.0000 0.0000  8 Ge 2.78
Na 0.7500 0.2500 0.5000  4 Na 2.46
Na 0.2500 0.7500 0.5000  4 Na 2.46
Ge 0.5877 0.5877 0.8247  1 Ge 2.58, 4 Os 2.78
Ge 0.4123 0.4123 0.1753  1 Ge 2.58, 4 Os 2.78

Properties
- E_tot (eV/atom) = -4.043
- Fermi-level density of states (states/eV/cell) = 2.542
- space-group type = I4/mmm, No. 139
- DFT formation energy (eV/f.u.) = 2.9
- distance to the lowest polymorph of the same formula (meV/atom) = 408

Record 2
Below is a geometry-optimized UTlAg2O5 structure, with properties calculated at the PBE level.

Lattice parameters (Å, degrees): 4.4639 6.2499 6.6009 118.26 109.76 90.00
Closest atoms and distances in Å follow each position.
Fractional positions:
Ag 0.2372 0.2372 0.4744  2 O 2.21
Ag 0.7628 0.7628 0.5256  2 O 2.21
Tl 0.0000 0.5000 0.0000  10 O 3.12-3.19
U 0.5000 0.0000 0.0000  6 O 2.02-2.23
O 0.3634 0.0851 0.7269  1 U 2.02, 1 Ag 2.21
O 0.0000 0.0000 0.0000  2 U 2.23
O 0.6366 0.3582 0.2731  1 U 2.02, 1 Ag 2.21
O 0.6366 0.9149 0.2731  1 U 2.02, 1 Ag 2.21
O 0.3634 0.6418 0.7269  1 U 2.02, 1 Ag 2.21

Properties
- E_tot (eV/atom) = -6.320
- Fermi-level density of states (states/eV/cell) = 6.675
- space-group type = Immm, No. 71
- energy relative to the elements, uncorrected (eV/atom) = -1.414

Record 3
Below is a geometry-optimized PaAg2Te4 structure, with properties calculated at the PBE level.

Lattice parameters (Å, degrees): 8.4255 8.4251 8.4262 118.66 109.04 101.19
Closest atoms and distances in Å follow each position.
Fractional positions:
Ag 0.6251 0.8751 0.2500  4 Te 2.85
Ag 0.6250 0.3750 0.7500  4 Te 2.85
Ag 0.6249 0.3749 0.2498  2 Te 2.79
Ag 0.1251 0.3752 0.7504  2 Te 2.79
Te 0.4384 0.6301 0.8083  3 Ag 2.79-2.85, 1 Pa 3.02
Te 0.9278 0.1812 0.2534  2 Pa 2.99-3.03, 3 Ag 3.24-3.29
Te 0.4282 0.1199 0.3083  3 Ag 2.79-2.85, 1 Pa 3.02
Te 0.3222 0.0757 0.7535  2 Pa 2.99-3.03, 3 Ag 3.24-3.29
Te 0.8116 0.1199 0.6917  3 Ag 2.79-2.85, 1 Pa 3.02
Te 0.9277 0.6743 0.7465  2 Pa 2.99-3.03, 3 Ag 3.24-3.29
Te 0.3222 0.5688 0.2465  2 Pa 2.99-3.03, 3 Ag 3.24-3.28
Te 0.8218 0.6301 0.1917  3 Ag 2.79-2.85, 1 Pa 3.02
Pa 0.1247 0.6247 0.5000  6 Te 2.99-3.03
Pa 0.1253 0.1252 0.0000  6 Te 2.99-3.03

Properties
- E_tot (eV/atom) = -4.333
- Fermi-level density of states (states/eV/cell) = 8.477
- space-group type = Imma, No. 74
- energy relative to the elements, uncorrected (eV/atom) = -0.367

Record 4
Below is a geometry-optimized Sr2CaCl structure, with properties calculated at the PBE level.

Lattice parameters (Å, degrees): 4.0555 4.0555 11.2816 90.00 90.00 118.51
Closest atoms and distances in Å follow each position.
Fractional positions:
Sr 0.5000 0.5000 0.2589  2 Ca 3.88, 8 Sr 4.05-4.15
Sr 0.0000 0.0000 0.9506  2 Cl 3.15
Cl 0.5000 0.5000 0.7406  2 Ca 2.99, 2 Sr 3.15
Ca 0.0000 0.0000 0.5498  2 Cl 2.99

Properties
- E_tot (eV/atom) = -2.562
- Fermi-level density of states (states/eV/cell) = 3.364
- space-group type = Cmm2, No. 35
- distance to the lowest polymorph of the same formula (meV/atom) = 56
- energy relative to the elements, uncorrected (eV/atom) = -0.759

Record 5
Below is a geometry-optimized Pr3F structure, with properties calculated at the PBE level.

Lattice parameters (Å, degrees): 3.4677 6.2211 6.3654 119.25 105.81 90.00
Closest atoms and distances in Å follow each position.
Fractional positions:
Pr 0.6766 0.0426 0.3531  2 F 2.80
Pr 0.3234 0.6895 0.6469  2 F 2.80
Pr 0.5000 0.3822 0.0000  2 F 2.69
F 0.0000 0.0524 0.0000  6 Pr 2.69-2.80

Properties
- E_tot (eV/atom) = -5.017
- Fermi-level density of states (states/eV/cell) = 5.532
- space-group type = Imm2, No. 44
- energy relative to the elements, uncorrected (eV/atom) = -0.964

Record 6
Below is a geometry-optimized GaWIN2 structure, with properties calculated at the PBE level.

Lattice parameters (Å, degrees): 4.0149 4.0149 5.5341 90.00 90.00 90.00
Closest atoms and distances in Å follow each position.
Fractional positions:
N 0.5000 0.0000 0.0000  2 Ga 2.01
N 0.0000 0.5000 0.0000  2 Ga 2.01
Ga 0.0000 0.0000 0.0000  4 N 2.01
I 0.0000 0.0000 0.5000  2 Ga 2.77, 4 W 2.84
W 0.5000 0.5000 0.5000  4 I 2.84

Properties
- E_tot (eV/atom) = -4.780
- Fermi-level density of states (states/eV/cell) = 2.843
- space-group type = P4/mmm, No. 123
- distance to the lowest polymorph of the same formula (meV/atom) = 1523
- energy relative to the elements, uncorrected (eV/atom) = 2.056

Record 7
Below is a geometry-optimized Cs3NaBr structure, with properties calculated at the PBE level.

Lattice parameters (Å, degrees): 7.2005 7.2005 7.2005 90.00 90.00 90.00
Closest atoms and distances in Å follow each position.
Fractional positions:
Br 0.0000 0.0000 0.0000  6 Cs 3.60
Cs 0.5000 0.0000 0.0000  2 Br 3.60
Cs 0.0000 0.5000 0.0000  2 Br 3.60
Cs 0.0000 0.0000 0.5000  2 Br 3.60
Na 0.5000 0.5000 0.5000  12 Cs 5.09

Properties
- E_tot (eV/atom) = -1.782
- Fermi-level density of states (states/eV/cell) = 4.380
- space-group type = Pm-3m, No. 221
- distance to the lowest polymorph of the same formula (meV/atom) = 0
- energy relative to the elements, uncorrected (eV/atom) = -0.672

Record 8
Below is a geometry-optimized LiYHoCr structure, with properties calculated at the PBE level.

Lattice parameters (Å, degrees): 5.0766 5.0766 5.0766 60.00 60.00 60.00
Closest atoms and distances in Å follow each position.
Fractional positions:
Cr 0.2500 0.2500 0.2500  4 Ho 3.11, 4 Y 3.11
Y 0.0000 0.0000 0.0000  4 Cr 3.11, 4 Li 3.11
Li 0.7500 0.7500 0.7500  4 Y 3.11, 4 Ho 3.11
Ho 0.5000 0.5000 0.5000  4 Cr 3.11, 4 Li 3.11

Properties
- E_tot (eV/atom) = -5.474
- Fermi-level density of states (states/eV/cell) = 2.938
- space-group type = F-43m, No. 216
- DFT formation energy (eV/f.u.) = 0.7